Record 1
DFT (PBE-GGA) results for a relaxed structure of CaBeW4.

```
CaBeW4
1.0
-3.359 -4.150 -0.730
-3.406 -1.431 3.923
-5.286 0.880 -0.568
W Be Ca
4 1 1
Direct
0.375 0.375 0.875
0.875 0.375 0.375
0.375 0.875 0.375
0.375 0.375 0.375
0.750 0.750 0.750
0.000 0.000 0.000
```

Computed properties:
Density = 11.772 g/cm³
E_form = 838 meV per atom
Volume = 18.4 Å³/atom

=====

Record 2
DFT (PBE-GGA) results for a relaxed structure of HfReSi.

```
HfReSi
1.0
-2.305 -0.479 3.027
-5.284 -6.452 -5.044
3.103 -3.905 1.745
Si Hf Re
4 4 4
Direct
0.500 0.899 0.250
0.500 0.101 0.750
0.000 0.601 0.750
0.000 0.399 0.250
0.000 0.302 0.750
0.500 0.198 0.250
0.500 0.802 0.750
0.000 0.698 0.250
0.000 0.000 0.000
0.000 0.000 0.500
0.500 0.500 0.000
0.500 0.500 0.500
```

Computed properties:
Density = 13.209 g/cm³
Formation energy (no corrections) = -1.86 eV/f.u.
Volume = 16.5 Å³/atom